Entry from Alexandria: a relaxed structure of CaWNO2 (PBE+U).

Calculated values
Magnetic moment   0.20 μB/atom
DFT total energy   -0.18310 hartree per atom

Cell lengths 4.236, 4.236, 4.303 Å; angles 90.00, 90.00, 90.00 degrees
Space group P4/mmm (No. 123)
One atom of each set of equivalent atoms:
Ca  0.000  0.000  0.000 [1 per cell]
W  0.500  0.500  0.500 [1 per cell]
N  0.000  0.000  0.500 [1 per cell]
O  0.000  0.500  0.000 [2 per cell]